First-principles (PBE) data for Al2SbMo after structural relaxation, as listed in the Alexandria database.

a b c (Å): 9.762 3.147 4.671
angles (deg): 90.00 96.76 90.00
Space group C2/m (No. 12)
Asymmetric unit:
Al (0.240, 0.000, 0.229) x4
Sb (0.000, 0.000, 0.500) x2
Mo (0.000, 0.500, 0.000) x2

The energy relative to the elements, uncorrected is 0.193 eV per atom.